# 1
! LaTbHo2Bi4 | the Alexandria database | PBE | optimized geometry; values from VASP
&SYSTEM
  ibrav = 0, nat = 8, ntyp = 4
/
ATOMIC_SPECIES
Ho 164.93 Ho.upf
Bi 208.98 Bi.upf
Tb 158.93 Tb.upf
La 138.91 La.upf
ATOMIC_POSITIONS angstrom
Ho 0.000 2.763 7.349
Ho 2.270 1.382 3.674
Bi 2.270 6.629 1.746
Bi 4.541 2.596 1.865
Bi 0.000 8.008 5.333
Bi 2.270 3.975 5.452
Tb 0.000 5.302 3.599
La 2.270 3.921 -0.076
CELL_PARAMETERS angstrom
4.541 0.000 0.000
0.000 7.841 -0.151
0.000 2.763 7.349
! **Energy of formation**: -0.8949 eV/atom
! **Space group**: P2/m
! **Total magnetization**: 0.00 Bohr magnetons per cell
! **Fermi-level density of states**: 1.2 states/eV/cell



# 2
! Pm2HoAl | the Alexandria database | PBE | optimized geometry; values from VASP
&SYSTEM
  ibrav = 0, nat = 4, ntyp = 3
/
ATOMIC_SPECIES
Al 26.98 Al.upf
Pm 145.00 Pm.upf
Ho 164.93 Ho.upf
ATOMIC_POSITIONS angstrom
Al -2.208 -0.306 1.160
Pm -0.229 1.987 0.090
Pm -0.827 7.190 0.325
Ho -2.735 4.282 1.367
CELL_PARAMETERS angstrom
-3.372 -0.340 -1.066
-1.043 -0.273 3.386
-1.056 9.177 0.415
! **Energy of formation**: -0.1468 eV/atom
! **Space group**: P4/mmm
! **Total magnetization**: 0.00 Bohr magnetons per cell
! **Fermi-level density of states**: 4.1 states/eV/cell



# 3
! KNi2Se | the Alexandria database | PBE | optimized geometry; values from VASP
&SYSTEM
  ibrav = 0, nat = 4, ntyp = 3
/
ATOMIC_SPECIES
Ni 58.69 Ni.upf
Se 78.96 Se.upf
K 39.10 K.upf
ATOMIC_POSITIONS angstrom
Ni 0.000 4.764 1.182
Ni 0.000 2.463 1.254
Se 1.950 1.232 1.289
K 1.950 3.695 3.867
CELL_PARAMETERS angstrom
3.900 0.000 0.000
0.000 4.764 -0.142
0.000 0.162 5.298
! **DFT total energy**: -4.02 eV per atom
! **Space group**: Pmmm
! **Total magnetization**: 0.68 Bohr magnetons per cell
! **Fermi-level density of states**: 3.8 states/eV/cell



# 4
! Pr4HoHg5 | the Alexandria database | PBE | optimized geometry; values from VASP
&SYSTEM
  ibrav = 0, nat = 10, ntyp = 3
/
ATOMIC_SPECIES
Hg 200.59 Hg.upf
Pr 140.91 Pr.upf
Ho 164.93 Ho.upf
ATOMIC_POSITIONS angstrom
Hg 0.137 -2.059 2.451
Hg 6.630 -6.302 4.096
Hg 3.424 -4.207 3.284
Hg 13.122 -10.544 5.742
Hg 9.835 -8.396 4.909
Pr 12.728 -8.317 3.227
Pr 6.293 -4.113 1.595
Pr 3.079 -2.012 0.780
Pr 9.513 -6.216 2.412
Ho 0.000 0.000 0.000
CELL_PARAMETERS angstrom
-0.390 0.841 3.706
-2.158 -3.115 0.480
15.807 -10.329 4.007
! **Energy of formation**: -0.4706 eV/atom
! **Space group**: P4/mmm
! **Total magnetization**: 2.09 Bohr magnetons per cell
! **Fermi-level density of states**: 11.0 states/eV/cell



# 5
! SmErTh2 | the Alexandria database | PBE | optimized geometry; values from VASP
&SYSTEM
  ibrav = 0, nat = 4, ntyp = 3
/
ATOMIC_SPECIES
Er 167.26 Er.upf
Th 232.04 Th.upf
Sm 150.36 Sm.upf
ATOMIC_POSITIONS angstrom
Er 3.487 2.013 6.207
Th 5.230 3.020 3.280
Th 1.743 1.007 9.135
Sm 0.000 0.000 0.000
CELL_PARAMETERS angstrom
3.487 0.000 0.000
1.743 3.020 0.000
1.743 1.007 12.415
! **Energy of formation**: 0.1965 eV/atom
! **Space group**: R-3m
! **Total magnetization**: 0.00 Bohr magnetons per cell
! **Fermi-level density of states**: 5.3 states/eV/cell



# 6
! AcNdDyHo2 | the Alexandria database | PBE | optimized geometry; values from VASP
&SYSTEM
  ibrav = 0, nat = 10, ntyp = 4
/
ATOMIC_SPECIES
Nd 144.24 Nd.upf
Ho 164.93 Ho.upf
Ac 227.00 Ac.upf
Dy 162.50 Dy.upf
ATOMIC_POSITIONS angstrom
Nd 2.925 4.832 4.258
Nd -1.923 5.075 1.251
Ho 0.081 -0.358 1.576
Ho 0.242 -1.068 4.707
Ho -2.371 1.701 2.169
Ho -2.210 0.990 5.301
Ac 0.246 7.530 1.696
Ac 0.757 2.378 3.813
Dy -0.856 5.387 4.579
Dy 1.858 4.520 0.930
CELL_PARAMETERS angstrom
-4.904 4.117 1.187
0.323 -1.426 6.283
5.584 7.216 -1.961
! **Energy of formation**: 0.3819 eV/atom
! **Space group**: Cmcm
! **Total magnetization**: 0.00 Bohr magnetons per cell
! **Fermi-level density of states**: 16.0 states/eV/cell



# 7
! AgTeCl6 | the Alexandria database | PBE | optimized geometry; values from VASP
&SYSTEM
  ibrav = 0, nat = 8, ntyp = 3
/
ATOMIC_SPECIES
Cl 35.45 Cl.upf
Ag 107.87 Ag.upf
Te 127.60 Te.upf
ATOMIC_POSITIONS angstrom
Cl 4.772 3.344 5.039
Cl 2.132 1.650 6.032
Cl 5.250 0.834 1.766
Cl 5.281 4.924 8.836
Cl 1.656 4.156 9.297
Cl 1.621 0.065 2.227
Ag 3.428 -0.416 0.501
Te 0.001 0.121 0.209
CELL_PARAMETERS angstrom
6.855 -1.071 0.588
-0.587 6.023 3.232
0.634 -0.202 6.828
! **DFT total energy**: -2.57 eV per atom
! **Space group**: C2
! **Total magnetization**: 0.86 Bohr magnetons per cell
! **Fermi-level density of states**: 5.5 states/eV/cell



# 8
! As2Pb | the Alexandria database | PBE | optimized geometry; values from VASP
&SYSTEM
  ibrav = 0, nat = 3, ntyp = 2
/
ATOMIC_SPECIES
As 74.92 As.upf
Pb 207.20 Pb.upf
ATOMIC_POSITIONS angstrom
As -3.282 -2.705 1.771
As -0.911 -3.112 0.952
Pb 0.000 0.000 0.000
CELL_PARAMETERS angstrom
-3.221 0.462 -1.575
1.988 -2.919 -0.773
-2.961 -3.359 5.070
! **Energy of formation**: 0.0515 eV/atom
! **Space group**: P-3m1
! **Total magnetization**: 0.00 Bohr magnetons per cell
! **Fermi-level density of states**: 1.5 states/eV/cell